ThMnFe2O6, relaxed, DFT PBE with a Hubbard U; raw total energy = -7.50 eV/atom
1.0
-3.023 1.963 1.592
-3.138 -0.670 -5.134
1.509 -5.627 3.381
Fe O Th Mn
2 6 1 1
Cartesian
-0.235 -2.853 0.516
-4.417 -1.481 -0.676
-3.179 0.186 0.308
-2.782 -2.005 -1.607
-1.474 -4.520 -0.468
-1.870 -2.329 1.447
0.248 -4.153 2.349
-4.901 -0.182 -2.509
-1.569 -0.335 -2.567
-1.512 0.981 0.796